[1]
Crystalline TaCu2Re at its relaxed geometry, computed with PBE-GGA.

Calculated values
ΔH_f (0 K) = 0.594 eV per atom
size of the total moment = 0.0 μB per formula unit
calculated volume = 15.81 Å³/atom

Unit cell a=3.663 b=3.663 c=18.860 alpha=90.00 beta=90.00 gamma=90.00
Space group I-42d (No. 122)
Unique sites:
Ta1 0.000 0.000 0.000 x4
Cu1 0.234 0.250 0.625 x8
Re1 0.000 0.000 0.500 x4

[2]
Crystalline Ho2NpUAs4 at its relaxed geometry, computed with PBE-GGA.

Calculated values
ΔH_f (0 K) = -1.118 eV per atom
size of the total moment = 6.2 μB per formula unit
calculated volume = 24.25 Å³/atom

Unit cell a=7.052 b=4.076 c=7.149 alpha=90.00 beta=109.22 gamma=90.00
Space group P2/m (No. 10)
Unique sites:
Ho1 0.000 0.000 0.000 x1
Ho2 0.500 0.500 0.000 x1
Np1 0.000 0.500 0.500 x1
U1 0.500 0.000 0.500 x1
As1 0.251 0.000 0.749 x2
As2 0.251 0.500 0.250 x2

[3]
Crystalline CrHBr4 at its relaxed geometry, computed with PBE-GGA.

Calculated values
VASP energy = -3.843 eV per atom
size of the total moment = 3.0 μB per formula unit
calculated volume = 30.32 Å³/atom

Unit cell a=6.147 b=18.323 c=6.484 alpha=90.00 beta=94.77 gamma=90.00
Space group C2/c (No. 15)
Unique sites:
Cr1 0.000 0.050 0.250 x4
H1 0.000 0.359 0.750 x4
Br1 0.225 0.047 0.591 x8
Br2 0.244 0.149 0.123 x8